This record from the Alexandria database describes crystalline ZrSbMoI2 at its relaxed geometry. The functional is PBE-GGA.

The structure belongs to space group P4/mmm (No. 123); the cell edges are 5.616, 5.616 and 5.792 Å and the angles 90.00°, 90.00° and 90.00°. Symmetry generates all atoms from Zr at (0.000, 0.000, 0.000), Sb at (0.000, 0.000, 0.500), Mo at (0.500, 0.500, 0.500) and I at (0.000, 0.500, 0.000).

The calculated volume is 36.5 Å³/atom. For the distance to the lowest polymorph of the same formula, the calculation gives 0.000 eV/atom. The density of states at the Fermi level is 3.4 states/eV per cell.

---

This record from the Alexandria database describes crystalline Cs2LiHgTe at its relaxed geometry. The functional is PBE-GGA.

The structure belongs to space group P4/mmm (No. 123); the cell edges are 7.525, 7.525 and 5.154 Å and the angles 90.00°, 90.00° and 90.00°. Symmetry generates all atoms from Cs at (0.000, 0.500, 0.000), Li at (0.000, 0.000, 0.500), Hg at (0.500, 0.500, 0.500) and Te at (0.000, 0.000, 0.000).

The calculated volume is 58.4 Å³/atom. The calculation puts the total DFT energy (no corrections) at -9.83 eV per formula unit. The density of states at the Fermi level is 3.3 states/eV per cell.

---

This record from the Alexandria database describes crystalline Er8Mg2In at its relaxed geometry. The functional is PBE-GGA.

The structure belongs to space group C2/m (No. 12); the cell edges are 8.719, 15.030 and 5.446 Å and the angles 90.00°, 114.80° and 90.00°. Symmetry generates all atoms from Er at (0.000, 0.212, 0.000), Er at (0.102, 0.500, 0.803), Er at (0.210, 0.113, 0.625), Mg at (0.000, 0.306, 0.500) and In at (0.000, 0.000, 0.000).

The calculated volume is 29.4 Å³/atom. The calculation puts the total DFT energy (no corrections) at -41.66 eV per formula unit. The density of states at the Fermi level is 29.3 states/eV per cell.

---

This record from the Alexandria database describes crystalline Tb2Nd7Ho at its relaxed geometry. The functional is PBE-GGA.

The structure belongs to space group Cmmm (No. 65); the cell edges are 12.113, 16.894 and 3.531 Å and the angles 90.00°, 90.00° and 90.00°. Symmetry generates all atoms from Tb at (0.000, 0.167, 0.000), Nd at (0.000, 0.322, 0.500), Nd at (0.000, 0.500, 0.000), Nd at (0.246, 0.372, 0.000) and Ho at (0.000, 0.000, 0.500).

The calculated volume is 36.1 Å³/atom. For the distance to the lowest polymorph of the same formula, the calculation gives 0.000 eV/atom. The density of states at the Fermi level is 30.3 states/eV per cell.